Computed, not measured: a relaxed structure of La5Tb2In at the PBE level of DFT.

Output
* total magnetization: 0.00 μB/atom
* energy of formation from the pure elements: -0.123 eV per atom
* final energy: -4.702 eV/atom

abc: 7.2970 7.2963 6.8345
angles: 105.76 105.77 119.41
Closest atoms and distances in Å follow each position.
Positions (direct):
La1 0.3416 0.7625 0.0000  4 La 3.33-3.60, 4 Tb 3.52-3.67, 2 In 3.60-3.71
La2 0.7383 0.8165 0.4993  2 In 3.57, 4 Tb 3.58-3.73, 6 La 3.59-3.68
La3 0.2390 0.3171 0.5007  2 In 3.57, 4 Tb 3.58-3.73, 6 La 3.59-3.68
In1 0.8208 0.7353 0.0000  2 Tb 3.36, 10 La 3.57-3.71
La4 0.7938 0.2143 0.0000  4 La 3.33-3.61, 4 Tb 3.52-3.67, 2 In 3.60-3.71
La5 0.3260 0.2289 0.0000  8 La 3.46-3.84, 2 Tb 3.65, 2 In 3.68-3.69
Tb1 0.2140 0.8064 0.4645  1 In 3.36, 9 La 3.52-3.73, 2 Tb 3.70
Tb2 0.7495 0.3419 0.5355  1 In 3.36, 9 La 3.52-3.73, 2 Tb 3.70

***

Computed, not measured: a relaxed structure of La2Tb3In2 at the PBE level of DFT.

Output
* total magnetization: 0.00 μB/atom
* energy of formation from the pure elements: -0.270 eV per atom
* relative energy among the computed polymorphs: 0.019 eV/atom
* final energy: -4.444 eV/atom

abc: 5.5300 5.5304 8.8305
angles: 108.20 90.00 120.00
Closest atoms and distances in Å follow each position.
Positions (direct):
Tb1 0.3481 0.6961 0.5443  1 In 3.20, 3 Tb 3.28, 3 La 3.56-3.57
In1 0.7814 0.5628 0.8445  4 Tb 3.20-3.44, 4 La 3.31-3.45
La1 0.0788 0.1577 0.7367  4 In 3.31-3.45, 3 Tb 3.56-3.57
Tb2 0.5000 0.0000 0.0000  6 In 3.44, 2 Tb 3.75
La2 0.9212 0.8423 0.2633  4 In 3.31-3.45, 3 Tb 3.56-3.57
In2 0.2186 0.4372 0.1555  4 Tb 3.20-3.44, 4 La 3.31-3.45
Tb3 0.6519 0.3039 0.4557  1 In 3.20, 3 Tb 3.28, 3 La 3.56-3.57

***

Computed, not measured: a relaxed structure of LaTb2In6 at the PBE level of DFT.

Output
* total magnetization: 0.00 μB/atom
* energy of formation from the pure elements: -0.435 eV per atom
* relative energy among the computed polymorphs: 0.000 eV/atom
* final energy: -3.837 eV/atom

abc: 3.6435 8.6892 8.6892
angles: 120.00 90.00 90.00
Closest atoms and distances in Å follow each position.
Positions (direct):
In1 0.5000 0.6640 0.6640  3 In 2.85-2.92
In2 0.5000 0.3360 0.0000  3 In 2.85-2.92
Tb1 0.0000 0.6667 0.3333  12 In 3.41, 2 Tb 3.64
Tb2 0.0000 0.3333 0.6667  12 In 3.41, 2 Tb 3.64
In3 0.5000 0.0000 0.6640  3 In 2.85-2.92
In4 0.5000 0.6640 0.0000  3 In 2.85-2.92
La1 0.0000 0.0000 0.0000  12 In 3.44, 2 La 3.64
In5 0.5000 0.3360 0.3360  3 In 2.85-2.92
In6 0.5000 0.0000 0.3360  3 In 2.85-2.92

***

Computed, not measured: a relaxed structure of LaTb2In3 at the PBE level of DFT.

Output
* total magnetization: 0.00 μB/atom
* energy of formation from the pure elements: -0.480 eV per atom
* relative energy among the computed polymorphs: 0.014 eV/atom
* final energy: -4.214 eV/atom

abc: 5.4260 5.4260 6.6630
angles: 90.00 90.00 120.00
Closest atoms and distances in Å follow each position.
Positions (direct):
In1 0.3333 0.6667 0.1688  5 Tb 3.26-3.41, 3 La 3.33
Tb1 0.3333 0.6667 0.6576  8 In 3.26-3.41
Tb2 0.6667 0.3333 0.3424  8 In 3.26-3.41
La1 0.0000 0.0000 0.0000  8 In 3.33
In2 0.0000 0.0000 0.5000  6 Tb 3.30, 2 La 3.33
In3 0.6667 0.3333 0.8312  5 Tb 3.26-3.41, 3 La 3.33

***

Computed, not measured: a relaxed structure of LaTb9In2 at the PBE level of DFT.

Output
* total magnetization: 0.00 μB/atom
* energy of formation from the pure elements: -0.154 eV per atom
* final energy: -4.493 eV/atom

abc: 4.8921 4.8921 15.1508
angles: 90.00 90.00 90.00
Closest atoms and distances in Å follow each position.
Positions (direct):
La1 0.0000 0.0000 0.0000  12 Tb 3.46-3.63
In1 0.0000 0.0000 0.6603  12 Tb 3.45-3.47
Tb1 0.5000 0.5000 0.0000  4 La 3.46, 8 Tb 3.63
Tb2 0.5000 0.5000 0.6594  8 Tb 3.44-3.48, 4 In 3.46
Tb3 0.0000 0.5000 0.5000  8 Tb 3.44-3.46, 4 In 3.45
In2 0.0000 0.0000 0.3397  12 Tb 3.45-3.47
Tb4 0.0000 0.5000 0.1772  8 Tb 3.46-3.63, 2 In 3.47, 2 La 3.63
Tb5 0.5000 0.5000 0.3406  8 Tb 3.44-3.48, 4 In 3.46
Tb6 0.5000 0.0000 0.8228  8 Tb 3.46-3.63, 2 In 3.47, 2 La 3.63
Tb7 0.5000 0.0000 0.1772  8 Tb 3.46-3.63, 2 In 3.47, 2 La 3.63
Tb8 0.5000 0.0000 0.5000  8 Tb 3.44-3.46, 4 In 3.45
Tb9 0.0000 0.5000 0.8228  8 Tb 3.46-3.63, 2 In 3.47, 2 La 3.63

***

Computed, not measured: a relaxed structure of LaTb3In3 at the PBE level of DFT.

Output
* total magnetization: 0.00 μB/atom
* energy of formation from the pure elements: -0.333 eV per atom
* relative energy among the computed polymorphs: 0.037 eV/atom
* final energy: -4.195 eV/atom

abc: 9.4332 9.4332 9.4332
angles: 90.00 90.00 90.00
Closest atoms and distances in Å follow each position.
Positions (direct):
In1 0.1946 0.9023 0.0063  6 Tb 3.16-3.37, 1 La 3.37, 2 In 3.42
Tb1 0.6671 0.6671 0.6671  6 In 3.16-3.26, 1 Tb 3.48, 1 La 3.48
In2 0.0063 0.1946 0.9023  6 Tb 3.16-3.37, 1 La 3.37, 2 In 3.42
Tb2 0.3799 0.6201 0.1201  6 In 3.21-3.36, 1 Tb 3.48, 3 La 3.59
Tb3 0.7982 0.7018 0.2982  6 In 3.19-3.37
Tb4 0.8329 0.3329 0.1671  6 In 3.16-3.26, 1 Tb 3.48, 1 La 3.48
In3 0.9937 0.6946 0.5977  6 Tb 3.16-3.37, 1 La 3.37, 2 In 3.42
In4 0.4937 0.8054 0.4023  6 Tb 3.16-3.37, 1 La 3.37, 2 In 3.42
Tb5 0.8799 0.8799 0.8799  6 In 3.21-3.36, 1 Tb 3.48, 3 La 3.59
In5 0.8054 0.4023 0.4937  6 Tb 3.16-3.37, 1 La 3.37, 2 In 3.42
La1 0.0460 0.5460 0.9540  6 In 3.37-3.67, 4 Tb 3.48-3.59
Tb6 0.2018 0.2018 0.2018  6 In 3.19-3.37
Tb7 0.3329 0.1671 0.8329  6 In 3.16-3.26, 1 Tb 3.48, 1 La 3.48
Tb8 0.6201 0.1201 0.3799  6 In 3.21-3.36, 1 Tb 3.48, 3 La 3.59
In6 0.5977 0.9937 0.6946  6 Tb 3.16-3.37, 1 La 3.37, 2 In 3.42
In7 0.5063 0.3054 0.0977  6 Tb 3.16-3.37, 1 La 3.37, 2 In 3.42
Tb9 0.1201 0.3799 0.6201  6 In 3.21-3.36, 1 Tb 3.48, 3 La 3.59
Tb10 0.2982 0.7982 0.7018  6 In 3.19-3.37
In8 0.4023 0.4937 0.8054  6 Tb 3.16-3.37, 1 La 3.37, 2 In 3.42
In9 0.9023 0.0063 0.1946  6 Tb 3.16-3.37, 1 La 3.37, 2 In 3.42
In10 0.0977 0.5063 0.3054  6 Tb 3.16-3.37, 1 La 3.37, 2 In 3.42
Tb11 0.7018 0.2982 0.7982  6 In 3.19-3.37
La2 0.5460 0.9540 0.0460  6 In 3.37-3.67, 4 Tb 3.48-3.59
Tb12 0.1671 0.8329 0.3329  6 In 3.16-3.26, 1 Tb 3.48, 1 La 3.48
In11 0.3054 0.0977 0.5063  6 Tb 3.16-3.37, 1 La 3.37, 2 In 3.42
In12 0.6946 0.5977 0.9937  6 Tb 3.16-3.37, 1 La 3.37, 2 In 3.42
La3 0.9540 0.0460 0.5460  6 In 3.37-3.67, 4 Tb 3.48-3.59
La4 0.4540 0.4540 0.4540  6 In 3.37-3.67, 4 Tb 3.48-3.59

***

Computed, not measured: a relaxed structure of LaTb2In6 at the PBE level of DFT.

Output
* total magnetization: 0.00 μB/atom
* energy of formation from the pure elements: -0.309 eV per atom
* relative energy among the computed polymorphs: 0.126 eV/atom
* final energy: -3.711 eV/atom

abc: 3.7354 9.2283 9.2283
angles: 54.32 78.32 78.32
Closest atoms and distances in Å follow each position.
Positions (direct):
La1 0.0000 0.0000 0.0000  4 In 3.27
In1 0.3208 0.3580 0.0004  4 In 3.01-3.17, 3 Tb 3.34-3.36
Tb1 0.8654 0.6346 0.6346  10 In 3.23-3.36
In2 0.6792 0.6420 0.9996  4 In 3.01-3.17, 3 Tb 3.34-3.36
In3 0.5000 0.6810 0.3190  3 In 3.05-3.10, 4 Tb 3.23, 2 La 3.27
Tb2 0.1346 0.3654 0.3654  10 In 3.23-3.36
In4 0.3208 0.0004 0.3580  4 In 3.01-3.17, 3 Tb 3.34-3.36
In5 0.6792 0.9996 0.6420  4 In 3.01-3.17, 3 Tb 3.34-3.36
In6 0.5000 0.3190 0.6810  3 In 3.05-3.10, 4 Tb 3.23, 2 La 3.27

***

Computed, not measured: a relaxed structure of LaTb2In9 at the PBE level of DFT.

Output
* total magnetization: 0.00 μB/atom
* energy of formation from the pure elements: -0.447 eV per atom
* final energy: -3.683 eV/atom

abc: 4.6971 4.6971 14.0689
angles: 90.00 90.00 90.00
Closest atoms and distances in Å follow each position.
Positions (direct):
La1 0.0000 0.0000 0.0000  12 In 3.32-3.38
Tb1 0.0000 0.0000 0.6626  12 In 3.28-3.32
In1 0.5000 0.0000 0.5000  4 Tb 3.28, 8 In 3.31-3.32
In2 0.0000 0.5000 0.5000  4 Tb 3.28, 8 In 3.31-3.32
In3 0.5000 0.0000 0.8276  8 In 3.27-3.38, 2 Tb 3.30, 2 La 3.38
In4 0.5000 0.5000 0.3347  8 In 3.27-3.31, 4 Tb 3.32
In5 0.5000 0.5000 0.6653  8 In 3.27-3.31, 4 Tb 3.32
In6 0.0000 0.5000 0.1724  8 In 3.27-3.38, 2 Tb 3.30, 2 La 3.38
In7 0.0000 0.5000 0.8276  8 In 3.27-3.38, 2 Tb 3.30, 2 La 3.38
Tb2 0.0000 0.0000 0.3374  12 In 3.28-3.32
In8 0.5000 0.5000 0.0000  4 La 3.32, 8 In 3.38
In9 0.5000 0.0000 0.1724  8 In 3.27-3.38, 2 Tb 3.30, 2 La 3.38

***

- Among the records above, which one has the lowest final energy?
  La5Tb2In

***

- Which value of energy of formation from the pure elements does entry 4 give?
  -0.480 eV per atom